Record 1
# BeIBr2 PBEsol relaxed
data_BeIBr2
_space_group_name_H-M_alt 'F m -3 m'
_space_group_IT_number 225
_space_group_name_Hall '-F 4 2 3'
_cell_length_a 7.2664
_cell_length_b 7.2664
_cell_length_c 7.2664
_cell_angle_alpha 90.00
_cell_angle_beta 90.00
_cell_angle_gamma 90.00
loop_
_atom_site_label
_atom_site_fract_x
_atom_site_fract_y
_atom_site_fract_z
Be1 0.0000 0.0000 0.0000
I1 0.0000 0.0000 0.5000
Br1 0.2500 0.2500 0.2500
# **Relative energy among the computed polymorphs**: 4.15 eV/f.u.
# **Calculated volume**: 23.98 Å³/atom
# **Crystal system**: cubic
# **Formation energy from raw total energies**: 0.713 eV/atom
# **Raw total energy**: -0.0611 Ha/atom

=====

Record 2
# Te2RhPb PBEsol relaxed
data_Te2RhPb
_space_group_name_H-M_alt 'I m m 2'
_space_group_IT_number 44
_cell_length_a 3.3005
_cell_length_b 4.7822
_cell_length_c 12.3668
_cell_angle_alpha 90.00
_cell_angle_beta 90.00
_cell_angle_gamma 90.00
loop_
_space_group_symop_operation_xyz
'x,y,z'
'-x,-y,z'
'-x,y,z'
'x,-y,z'
'x+1/2,y+1/2,z+1/2'
'-x+1/2,-y+1/2,z+1/2'
'-x+1/2,y+1/2,z+1/2'
'x+1/2,-y+1/2,z+1/2'
loop_
_atom_site_label
_atom_site_fract_x
_atom_site_fract_y
_atom_site_fract_z
Te1 0.0000 0.0000 0.0000
Te2 0.0000 0.5000 0.1894
Rh1 0.0000 0.0000 0.5222
Pb1 0.0000 0.5000 0.8223
# **Calculated volume**: 24.40 Å³/atom
# **Crystal system**: orthorhombic
# **Formation energy from raw total energies**: -0.063 eV/atom
# **Raw total energy**: -0.1786 Ha/atom

=====

Record 3
# Ta2TlAg PBEsol relaxed
data_Ta2TlAg
_space_group_name_H-M_alt 'P 4/m m m'
_space_group_IT_number 123
_space_group_name_Hall '-P 4 2'
_cell_length_a 3.5703
_cell_length_b 3.5703
_cell_length_c 5.7362
_cell_angle_alpha 90.00
_cell_angle_beta 90.00
_cell_angle_gamma 90.00
loop_
_atom_site_label
_atom_site_fract_x
_atom_site_fract_y
_atom_site_fract_z
Ta1 0.0000 0.0000 0.2460
Tl1 0.5000 0.5000 0.5000
Ag1 0.5000 0.5000 0.0000
# **Calculated volume**: 18.28 Å³/atom
# **Crystal system**: tetragonal
# **Raw total energy**: -0.2636 Ha/atom
# **E_form**: 0.588 eV/atom

=====

Record 4
# ScZn2Br PBEsol relaxed
data_ScZn2Br
_space_group_name_H-M_alt 'C 1 m 1'
_space_group_IT_number 8
_cell_length_a 9.4914
_cell_length_b 3.4025
_cell_length_c 5.0429
_cell_angle_alpha 90.00
_cell_angle_beta 110.25
_cell_angle_gamma 90.00
loop_
_space_group_symop_operation_xyz
'x,y,z'
'x,-y,z'
'x+1/2,y+1/2,z'
'x+1/2,-y+1/2,z'
loop_
_atom_site_label
_atom_site_fract_x
_atom_site_fract_y
_atom_site_fract_z
Sc1 0.0000 0.0000 0.0000
Zn1 0.0003 0.5000 0.4617
Zn2 0.2441 0.0000 0.5633
Br1 0.2240 0.5000 0.0289
# **Relative energy among the computed polymorphs**: 0.24 eV/f.u.
# **Calculated volume**: 19.10 Å³/atom
# **Crystal system**: monoclinic
# **Formation energy from raw total energies**: -0.317 eV/atom
# **Raw total energy**: -0.1186 Ha/atom

=====

Record 5
# ScTeSN2 PBEsol relaxed
data_ScTeSN2
_space_group_name_H-M_alt 'P 4/m m m'
_space_group_IT_number 123
_space_group_name_Hall '-P 4 2'
_cell_length_a 3.8970
_cell_length_b 3.8970
_cell_length_c 4.9431
_cell_angle_alpha 90.00
_cell_angle_beta 90.00
_cell_angle_gamma 90.00
loop_
_atom_site_label
_atom_site_fract_x
_atom_site_fract_y
_atom_site_fract_z
Sc1 0.0000 0.0000 0.0000
Te1 0.5000 0.5000 0.0000
S1 0.5000 0.5000 0.5000
N1 0.0000 0.5000 0.5000
# **Calculated volume**: 15.01 Å³/atom
# **Crystal system**: tetragonal
# **Formation energy from raw total energies**: 0.936 eV/atom
# **Raw total energy**: -0.1976 Ha/atom

=====

Record 6
# AsSeCl2 PBEsol relaxed
data_AsSeCl2
_space_group_name_H-M_alt 'C 1 2/m 1'
_space_group_IT_number 12
_cell_length_a 6.0317
_cell_length_b 8.7349
_cell_length_c 4.3405
_cell_angle_alpha 90.00
_cell_angle_beta 133.78
_cell_angle_gamma 90.00
loop_
_space_group_symop_operation_xyz
'x,y,z'
'-x,-y,-z'
'-x,y,-z'
'x,-y,z'
'x+1/2,y+1/2,z'
'-x+1/2,-y+1/2,-z'
'-x+1/2,y+1/2,-z'
'x+1/2,-y+1/2,z'
loop_
_atom_site_label
_atom_site_fract_x
_atom_site_fract_y
_atom_site_fract_z
As1 0.0000 0.0000 0.0000
Se1 0.0000 0.5000 0.0000
Cl1 0.2500 0.2500 0.5000
# **Relative energy among the computed polymorphs**: 1.44 eV/f.u.
# **Calculated volume**: 20.64 Å³/atom
# **Crystal system**: monoclinic
# **Formation energy from raw total energies**: 0.177 eV/atom
# **Raw total energy**: -0.1127 Ha/atom

=====

Which of these has the highest raw total energy?
BeIBr2

=====

Look up the raw total energy of the fifth one.
-0.1976 Ha/atom